1.
A plane-wave DFT calculation with PBE-GGA was carried out for an optimized crystal structure of AlPSeN2.

Results
raw formation energy	0.93	eV/atom
crystal system	tetragonal
total magnetization	0.7	μB/f.u.
calculated volume	17.579	Å³/atom
polymorph energy (0 for the lowest one)	0.261	eV/atom

Lattice parameters (Å, degrees): 3.6101 3.6101 6.7444 90.00 90.00 90.00
Space group P4/mmm (No. 123)
Unique sites:
Al1 0.0000 0.0000 0.0000 [1 per cell]
P1 0.5000 0.5000 0.5000 [1 per cell]
Se1 0.0000 0.0000 0.5000 [1 per cell]
N1 0.0000 0.5000 0.0000 [2 per cell]

=====

2.
A plane-wave DFT calculation with PBE-GGA was carried out for an optimized crystal structure of U2Be16Fe.

Results
crystal system	trigonal
formation energy	-46	meV/atom
total magnetization	1.3	μB/f.u.
calculated volume	10.086	Å³/atom

Lattice parameters (Å, degrees): 7.7909 7.7909 10.9374 90.00 90.00 120.00
Space group R3m (No. 160, hexagonal axes)
Unique sites:
U1 0.0000 0.0000 0.0000 [3 per cell]
U2 0.0000 0.0000 0.3262 [3 per cell]
Be1 0.0000 0.0000 0.7468 [3 per cell]
Be2 0.0008 0.2763 0.6492 [18 per cell]
Be3 0.0030 0.5015 0.8124 [9 per cell]
Be4 0.0042 0.5021 0.4970 [9 per cell]
Be5 0.1713 0.3427 0.4858 [9 per cell]
Fe1 0.0000 0.0000 0.5301 [3 per cell]

=====

3.
A plane-wave DFT calculation with PBE-GGA was carried out for an optimized crystal structure of AgAu2Se.

Results
raw formation energy	0.10	eV/atom
crystal system	monoclinic
total magnetization	0.0	μB/f.u.
calculated volume	21.794	Å³/atom

Lattice parameters (Å, degrees): 9.1073 2.8605 6.7475 90.00 97.32 90.00
Space group Cm (No. 8)
Unique sites:
Ag1 0.0000 0.0000 0.0000 [2 per cell]
Au1 0.0858 0.5000 0.4083 [2 per cell]
Au2 0.2996 0.0000 0.2205 [2 per cell]
Se1 0.1914 0.5000 0.7801 [2 per cell]

=====

4.
A plane-wave DFT calculation with PBE-GGA was carried out for an optimized crystal structure of MnCr2Tc.

Results
crystal system	trigonal
formation energy	272	meV/atom
total magnetization	0.0	μB/f.u.
calculated volume	12.402	Å³/atom
polymorph energy (0 for the lowest one)	0.218	eV/atom

Lattice parameters (Å, degrees): 2.6163 2.6163 25.1054 90.00 90.00 120.00
Space group R3m (No. 160, hexagonal axes)
Unique sites:
Mn1 0.0000 0.0000 0.0000 [3 per cell]
Cr1 0.0000 0.0000 0.2562 [3 per cell]
Cr2 0.0000 0.0000 0.5073 [3 per cell]
Tc1 0.0000 0.0000 0.7526 [3 per cell]

=====

5.
A plane-wave DFT calculation with PBE-GGA was carried out for an optimized crystal structure of LiReBr2.

Results
raw formation energy	0.35	eV/atom
crystal system	orthorhombic
total magnetization	0.0	μB/f.u.
calculated volume	21.447	Å³/atom
polymorph energy (0 for the lowest one)	0.210	eV/atom

Lattice parameters (Å, degrees): 3.2381 3.3291 15.9166 90.00 90.00 90.00
Space group Imm2 (No. 44)
Unique sites:
Li1 0.0000 0.0000 0.0000 [2 per cell]
Re1 0.0000 0.5000 0.6587 [2 per cell]
Br1 0.0000 0.0000 0.4511 [2 per cell]
Br2 0.0000 0.5000 0.2283 [2 per cell]

=====

6.
A plane-wave DFT calculation with PBE-GGA was carried out for an optimized crystal structure of CrCdW3.

Results
crystal system	cubic
formation energy	1465	meV/atom
total magnetization	0.0	μB/f.u.
calculated volume	18.770	Å³/atom
polymorph energy (0 for the lowest one)	0.000	eV/atom

Lattice parameters (Å, degrees): 4.5444 4.5444 4.5444 90.00 90.00 90.00
Space group Pm-3m (No. 221)
Unique sites:
Cr1 0.0000 0.0000 0.0000 [1 per cell]
Cd1 0.5000 0.5000 0.5000 [1 per cell]
W1 0.0000 0.0000 0.5000 [3 per cell]

=====

7.
A plane-wave DFT calculation with PBE-GGA was carried out for an optimized crystal structure of Sm2Ho6Sc.

Results
crystal system	monoclinic
formation energy	95	meV/atom
total magnetization	0.0	μB/f.u.
calculated volume	30.681	Å³/atom
polymorph energy (0 for the lowest one)	0.000	eV/atom

Lattice parameters (Å, degrees): 16.7314 9.6359 3.4255 90.00 90.09 90.00
Space group C2/m (No. 12)
Unique sites:
Sm1 0.1666 0.0000 0.0000 [4 per cell]
Ho1 0.0000 0.1712 0.5000 [4 per cell]
Ho2 0.1643 0.3356 0.4997 [8 per cell]
Sc1 0.0000 0.5000 0.0000 [2 per cell]

=====

8.
A plane-wave DFT calculation with PBE-GGA was carried out for an optimized crystal structure of SbTe2PtN.

Results
raw formation energy	0.43	eV/atom
crystal system	tetragonal
total magnetization	0.0	μB/f.u.
calculated volume	23.669	Å³/atom
polymorph energy (0 for the lowest one)	0.000	eV/atom

Lattice parameters (Å, degrees): 5.6283 5.6283 3.7358 90.00 90.00 90.00
Space group P4/mmm (No. 123)
Unique sites:
Sb1 0.0000 0.0000 0.0000 [1 per cell]
Te1 0.0000 0.5000 0.5000 [2 per cell]
Pt1 0.5000 0.5000 0.5000 [1 per cell]
N1 0.5000 0.5000 0.0000 [1 per cell]

=====

9.
A plane-wave DFT calculation with PBE-GGA was carried out for an optimized crystal structure of NaPt3F.

Results
raw formation energy	0.57	eV/atom
crystal system	cubic
total magnetization	1.5	μB/f.u.
calculated volume	17.907	Å³/atom
polymorph energy (0 for the lowest one)	0.000	eV/atom

Lattice parameters (Å, degrees): 4.4737 4.4737 4.4737 90.00 90.00 90.00
Space group Pm-3m (No. 221)
Unique sites:
Na1 0.0000 0.0000 0.0000 [1 per cell]
Pt1 0.0000 0.5000 0.5000 [3 per cell]
F1 0.5000 0.5000 0.5000 [1 per cell]

=====

10.
A plane-wave DFT calculation with PBE-GGA was carried out for an optimized crystal structure of ZrIrN3.

Results
raw formation energy	1.56	eV/atom
crystal system	cubic
total magnetization	0.0	μB/f.u.
calculated volume	14.164	Å³/atom

Lattice parameters (Å, degrees): 4.1373 4.1373 4.1373 90.00 90.00 90.00
Space group Pm-3m (No. 221)
Unique sites:
Zr1 0.0000 0.0000 0.0000 [1 per cell]
Ir1 0.5000 0.5000 0.5000 [1 per cell]
N1 0.0000 0.0000 0.5000 [3 per cell]

=====

11.
A plane-wave DFT calculation with PBE-GGA was carried out for an optimized crystal structure of CdAgAu2.

Results
crystal system	monoclinic
formation energy	-115	meV/atom
total magnetization	0.0	μB/f.u.
calculated volume	18.649	Å³/atom

Lattice parameters (Å, degrees): 6.0352 7.8253 3.1590 90.00 90.13 90.00
Space group C2/m (No. 12)
Unique sites:
Cd1 0.0000 0.0000 0.0000 [2 per cell]
Ag1 0.0000 0.5000 0.0000 [2 per cell]
Au1 0.2500 0.2500 0.5000 [4 per cell]

=====

12.
A plane-wave DFT calculation with PBE-GGA was carried out for an optimized crystal structure of Ta2ZnGaH.

Results
crystal system	tetragonal
total magnetization	0.0	μB/f.u.
uncorrected energy	-31.18	eV/cell
calculated volume	13.775	Å³/atom

Lattice parameters (Å, degrees): 4.0242 4.0242 4.2529 90.00 90.00 90.00
Space group P4/mmm (No. 123)
Unique sites:
Ta1 0.0000 0.5000 0.0000 [2 per cell]
Zn1 0.0000 0.0000 0.5000 [1 per cell]
Ga1 0.5000 0.5000 0.5000 [1 per cell]
H1 0.0000 0.0000 0.0000 [1 per cell]